The following is a DFT calculation (PBE) of a relaxed KOs3 crystal.

Summary:
Offset from the most stable computed form, meV per atom: 307
E_form, eV/f.u.: 4.37
Total energy, eV for the cell shown: -30.42
Space-group type: C2/m, No. 12

a = 5.8413 Å, b = 5.8413 Å, c = 6.0538 Å
α = 71.83°, β = 71.83°, γ = 26.70°
Last column: nearest neighbours and their distance in Å.
Atoms (fractional coordinates):
Os 0.5000 0.5000 0.5000  6 Os 2.56-2.70
Os 0.2025 0.2025 0.3757  6 Os 2.51-2.70
Os 0.7975 0.7975 0.6243  6 Os 2.51-2.70
K 0.0000 0.0000 0.0000  2 K 2.70